The following is a DFT calculation (PBE) of a geometry-optimized DyErCoGe structure.

Cell: 4.885 4.885 4.885 Å, 60.00 60.00 60.00°
Element x y z (fractional)
Co1 0.500 0.500 0.500
Er1 0.750 0.750 0.750
Ge1 0.000 0.000 0.000
Dy1 0.250 0.250 0.250

=====

The following is a DFT calculation (PBE) of a geometry-optimized DyErCoIr structure.

Cell: 4.775 4.775 4.775 Å, 60.00 60.00 60.00°
Element x y z (fractional)
Er1 0.250 0.250 0.250
Dy1 0.750 0.750 0.750
Ir1 0.000 0.000 0.000
Co1 0.500 0.500 0.500

=====

The following is a DFT calculation (PBE) of a geometry-optimized LaDyErCo structure.

Cell: 3.501 4.750 7.789 Å, 107.77 116.69 89.99°
Element x y z (fractional)
Er1 0.920 0.649 0.861
La1 0.752 0.315 0.193
Co1 0.380 0.129 0.822
Dy1 0.560 0.969 0.502

=====

The following is a DFT calculation (PBE) of a geometry-optimized DyErCoNi structure.

Summary:
Excess energy over the best structure of this formula in the dataset, kcal/mol of atoms: 0.00

Cell: 3.816 3.945 5.528 Å, 90.00 110.19 90.00°
Element x y z (fractional)
Co1 0.430 0.000 0.860
Er1 0.859 0.500 0.718
Ni1 0.567 0.500 0.135
Dy1 0.143 0.000 0.287

=====

The following is a DFT calculation (PBE) of a geometry-optimized DyErCoNi structure.

Summary:
Excess energy over the best structure of this formula in the dataset, kcal/mol of atoms: 1.09

Cell: 4.720 4.720 4.720 Å, 60.00 60.00 60.00°
Element x y z (fractional)
Dy1 0.000 0.000 0.000
Ni1 0.250 0.250 0.250
Co1 0.750 0.750 0.750
Er1 0.500 0.500 0.500

=====

The following is a DFT calculation (PBE) of a geometry-optimized Dy2ErPaCo2 structure.

Cell: 6.700 6.774 7.894 Å, 115.41 115.11 90.00°
Element x y z (fractional)
Co1 0.410 0.619 0.821
Dy1 0.800 0.508 0.599
Co2 0.090 0.798 0.179
Er1 0.750 0.000 0.000
Pa1 0.250 0.500 0.000
Co3 0.910 0.202 0.821
Pa2 0.750 0.500 0.000
Er2 0.250 0.000 0.000
Dy2 0.200 0.492 0.401
Dy3 0.300 0.092 0.599
Co4 0.590 0.381 0.179
Dy4 0.700 0.908 0.401

=====

no.,total magnetization (μB per formula unit),formation energy from the elements (kJ per mole of atoms),N(E_F) (states/eV/atom)
1,0.8,-39.4,0.49
2,0.5,-52.3,0.34
3,0.0,-1.2,0.97
4,0.0,-32.1,0.74
5,0.0,-27.5,0.65
6,0.0,-19.3,1.07